No. 1
DFT (PBE-GGA) results for BaUSb2 after structural relaxation.

## Properties
Total magnetization ... 6.0 μB per cell
Volume ... 36.407 A^3/atom
Uncorrected energy ... -5.931 eV/atom

Lattice parameters (Å, degrees): 4.6132 4.6132 23.7047 90.00 90.00 120.00
Space group R-3m (No. 166, hexagonal axes)
Inequivalent atoms, fractional coordinates:
Ba 0.0000 0.0000 0.0000 (multiplicity 3)
U 0.0000 0.0000 0.5000 (multiplicity 3)
Sb 0.0000 0.0000 0.2355 (multiplicity 6)

No. 2
DFT (PBE-GGA) results for Ba2USb5 after structural relaxation.

## Properties
Total magnetization ... 5.2 μB per cell
Volume ... 35.778 A^3/atom
Uncorrected energy ... -4.795 eV/atom

Lattice parameters (Å, degrees): 7.340 7.340 10.626 90.00 90.00 90.00
Space group I4mm (No. 107)
Inequivalent atoms, fractional coordinates:
Ba 0.000 0.500 0.000 (multiplicity 4)
U 0.000 0.000 0.247 (multiplicity 2)
Sb 0.000 0.000 0.521 (multiplicity 2)
Sb 0.213 0.213 0.755 (multiplicity 8)

No. 3
DFT (PBE-GGA) results for BaUSb2 after structural relaxation.

## Properties
Total magnetization ... 6.0 μB per cell
Volume ... 36.742 A^3/atom
Uncorrected energy ... -5.879 eV/atom

Lattice parameters (Å, degrees): 4.5720 4.5720 24.3553 90.00 90.00 120.00
Space group R3m (No. 160, hexagonal axes)
Inequivalent atoms, fractional coordinates:
Ba 0.0000 0.0000 0.0000 (multiplicity 3)
U 0.0000 0.0000 0.1705 (multiplicity 3)
Sb 0.0000 0.0000 0.5719 (multiplicity 3)
Sb 0.0000 0.0000 0.7671 (multiplicity 3)

No. 4
DFT (PBE-GGA) results for BaUSb2 after structural relaxation.

## Properties
Total magnetization ... 2.4 μB per cell
Volume ... 31.142 A^3/atom
Uncorrected energy ... -5.852 eV/atom

Lattice parameters (Å, degrees): 3.866 3.866 8.334 90.00 90.00 90.00
Space group P4/mmm (No. 123)
Inequivalent atoms, fractional coordinates:
Ba 0.000 0.000 0.000 (multiplicity 1)
U 0.000 0.000 0.500 (multiplicity 1)
Sb 0.500 0.500 0.287 (multiplicity 2)

No. 5
DFT (PBE-GGA) results for Ba2VSb2 after structural relaxation.

## Properties
Total magnetization ... 9.9 μB per cell
Volume ... 38.646 A^3/atom
Uncorrected energy ... -4.103 eV/atom

Lattice parameters (Å, degrees): 4.402 4.402 19.947 90.00 90.00 90.00
Space group I4/mmm (No. 139)
Inequivalent atoms, fractional coordinates:
Ba 0.000 0.000 0.107 (multiplicity 4)
V 0.000 0.000 0.500 (multiplicity 2)
Sb 0.000 0.500 0.250 (multiplicity 4)

No. 6
DFT (PBE-GGA) results for BaV2Sb after structural relaxation.

## Properties
Total magnetization ... 5.5 μB per cell
Volume ... 28.489 A^3/atom
Uncorrected energy ... -5.577 eV/atom

Lattice parameters (Å, degrees): 4.822 4.822 19.601 90.00 90.00 90.00
Space group I4_1/amd (No. 141, origin choice 2)
Inequivalent atoms, fractional coordinates:
Ba 0.000 0.250 0.375 (multiplicity 4)
V 0.000 0.000 0.000 (multiplicity 8)
Sb 0.000 0.250 0.875 (multiplicity 4)

No. 7
DFT (PBE-GGA) results for BaVSb2 after structural relaxation.

## Properties
Total magnetization ... 10.3 μB per cell
Volume ... 28.300 A^3/atom
Uncorrected energy ... -4.832 eV/atom

Lattice parameters (Å, degrees): 7.679 7.679 7.679 90.00 90.00 90.00
Space group Fm-3m (No. 225)
Inequivalent atoms, fractional coordinates:
Ba 0.000 0.000 0.000 (multiplicity 4)
V 0.000 0.000 0.500 (multiplicity 4)
Sb 0.250 0.250 0.250 (multiplicity 8)

No. 8
DFT (PBE-GGA) results for Ba3VSb after structural relaxation.

## Properties
Total magnetization ... 5.7 μB per cell
Volume ... 58.227 A^3/atom
Uncorrected energy ... -3.513 eV/atom

Lattice parameters (Å, degrees): 6.628 6.628 6.628 90.00 90.00 90.00
Space group Pm-3m (No. 221)
Inequivalent atoms, fractional coordinates:
Ba 0.000 0.000 0.500 (multiplicity 3)
V 0.500 0.500 0.500 (multiplicity 1)
Sb 0.000 0.000 0.000 (multiplicity 1)